Entry from Alexandria via LeMat-Bulk: an optimized crystal structure of MgHg2Mo (PBE).

Computed properties:
Symmetry ... No. 8
Formation energy ... 0.300 eV/atom
Volume ... 19.2 Å³/atom
M_tot ... 0.000 μB/atom
Electronic total energy ... -2.958 eV per atom

Cell: 5.676 5.676 5.215 Å, 114.43 114.43 30.42°
Fractional coordinates of all 4 atoms:
Mg: 0.000 0.000 0.000
Hg: 0.514 0.514 0.520
Hg: 0.756 0.756 0.085
Mo: 0.260 0.260 0.578

=====

Entry from Alexandria via LeMat-Bulk: an optimized crystal structure of Mg2HgMo (PBE).

Computed properties:
Symmetry ... No. 123
Formation energy ... 0.209 eV/atom
Volume ... 18.3 Å³/atom
M_tot ... 0.000 μB/atom
Electronic total energy ... -3.371 eV per atom

Cell: 4.215 4.215 4.127 Å, 90.00 90.00 90.00°
Fractional coordinates of all 4 atoms:
Mg: 0.000 0.500 0.000
Mg: 0.500 0.000 0.000
Hg: 0.000 0.000 0.500
Mo: 0.500 0.500 0.500

=====

Entry from Alexandria via LeMat-Bulk: an optimized crystal structure of Mg2HgMo (PBE).

Computed properties:
Symmetry ... No. 122
Formation energy ... 0.627 eV/atom
Volume ... 20.7 Å³/atom
M_tot ... 0.493 μB/atom
Electronic total energy ... -2.954 eV per atom

Cell: 6.086 6.086 6.086 Å, 103.05 103.05 123.26°
Fractional coordinates of all 8 atoms:
Mg: 0.116 0.625 0.991
Mg: 0.375 0.366 0.491
Mg: 0.634 0.125 0.009
Mg: 0.875 0.884 0.509
Hg: 0.000 0.000 0.000
Hg: 0.750 0.250 0.500
Mo: 0.250 0.750 0.500
Mo: 0.500 0.500 0.000

=====

Entry from Alexandria via LeMat-Bulk: an optimized crystal structure of MgHg2Mo (PBE).

Computed properties:
Symmetry ... No. 47
Formation energy ... 0.373 eV/atom
Volume ... 19.1 Å³/atom
M_tot ... 0.000 μB/atom
Electronic total energy ... -2.885 eV per atom

Cell: 3.020 4.136 6.129 Å, 90.00 90.00 90.00°
Fractional coordinates of all 4 atoms:
Mg: 0.000 0.000 0.000
Hg: 0.500 0.500 0.255
Hg: 0.500 0.500 0.745
Mo: 0.000 0.000 0.500